Entry 1:
Material: TeIrI2O
Method: DFT, SCAN
State: PBEsol geometry

Cell: 5.7733 5.7733 3.9100 Å, 90.00 90.00 90.00°
Element x y z (fractional)
Te 0.0000 0.0000 0.0000
Ir 0.5000 0.5000 0.5000
I 0.0000 0.5000 0.0000
I 0.5000 0.0000 0.0000
O 0.0000 0.0000 0.5000

## Properties
SG: P4/mmm (123)
Raw total energy, eV/cell: -183.17
Formation energy without anion corrections, kJ/mol of atoms: 94.5
Volume, Å³ per atom: 26.065
Spin magnetization, μB/cell: 2.8

---

Entry 2:
Material: Cu2PPb
Method: DFT, SCAN
State: PBEsol geometry

Cell: 3.2035 3.6235 6.0101 Å, 90.00 99.07 90.00°
Element x y z (fractional)
Cu 0.0000 0.0000 0.0000
Cu 0.0726 0.5000 0.2942
P 0.5760 0.0000 0.2901
Pb 0.4575 0.5000 0.7403

## Properties
SG: Pm (6)
ΔE_f, kJ/mol of atoms: 17.4
Raw total energy, eV/cell: -115.86
Volume, Å³ per atom: 17.223
Spin magnetization, μB/cell: 0.0

---

Entry 3:
Material: Li2Mn3CuO8
Method: DFT, SCAN
State: PBEsol geometry

Cell: 8.1401 8.1401 8.1418 Å, 90.00 90.00 90.00°
Element x y z (fractional)
Li 0.1211 0.1211 0.1213
Li 0.1287 0.6289 0.6212
Li 0.3711 0.8713 0.3787
Li 0.3788 0.3712 0.8711
Li 0.6210 0.1290 0.6289
Li 0.6288 0.6212 0.1289
Li 0.8710 0.3790 0.3711
Li 0.8789 0.8789 0.8787
Mn 0.0001 0.2554 0.7448
Mn 0.0051 0.5003 0.9947
Mn 0.2448 0.2501 0.4946
Mn 0.2500 0.4951 0.2448
Mn 0.2551 0.7449 0.0000
Mn 0.4946 0.2450 0.2498
Mn 0.4997 0.9949 0.0053
Mn 0.5049 0.7500 0.7552
Mn 0.7446 0.9999 0.2552
Mn 0.7499 0.7552 0.5054
Mn 0.7550 0.5054 0.7502
Mn 0.9948 0.0052 0.5000
Cu 0.9998 0.7501 0.2500
Cu 0.2499 0.0002 0.7500
Cu 0.4999 0.5001 0.5000
Cu 0.7499 0.2501 0.0000
O 0.0010 0.2681 0.9746
O 0.0085 0.2415 0.5088
O 0.0177 0.4996 0.2249
O 0.0252 0.7323 0.9991
O 0.2246 0.0180 0.4988
O 0.2322 0.2514 0.7244
O 0.2412 0.5088 0.0088
O 0.2496 0.4824 0.4746
O 0.2511 0.7249 0.2322
O 0.2585 0.2588 0.2588
O 0.2677 0.9748 0.0009
O 0.2751 0.7489 0.7678
O 0.4748 0.2491 0.4819
O 0.4820 0.4748 0.2486
O 0.4912 0.7588 0.9912
O 0.4984 0.2247 0.0179
O 0.5004 0.9823 0.7751
O 0.5085 0.0088 0.2414
O 0.5176 0.7504 0.5254
O 0.5252 0.5180 0.7514
O 0.7247 0.2323 0.2504
O 0.7319 0.9990 0.0254
O 0.7412 0.7415 0.7412
O 0.7486 0.7678 0.2756
O 0.7509 0.5252 0.5181
O 0.7585 0.9915 0.4912
O 0.7677 0.2753 0.7496
O 0.7753 0.5016 0.9821
O 0.9745 0.0007 0.2679
O 0.9820 0.7754 0.5012
O 0.9912 0.4915 0.7586
O 0.9993 0.0255 0.7321

## Properties
SG: C2 (5)
Raw total energy, eV/cell: -612.62
Formation energy without anion corrections, kJ/mol of atoms: -196.8
Volume, Å³ per atom: 9.634
Spin magnetization, μB/cell: 40.0

---

Entry 4:
Material: SrEu2Al2O7
Method: DFT, SCAN
State: PBEsol geometry

Cell: 10.1972 10.1972 10.1972 Å, 158.99 158.99 29.88°
Element x y z (fractional)
Sr 0.0000 0.0000 0.0000
Eu 0.1822 0.1822 0.0000
Eu 0.8178 0.8178 0.0000
Al 0.4049 0.4049 0.0000
Al 0.5951 0.5951 0.0000
O 0.1027 0.6027 0.5000
O 0.2989 0.2989 0.0000
O 0.3973 0.8973 0.5000
O 0.5000 0.5000 0.0000
O 0.6027 0.1027 0.5000
O 0.7011 0.7011 0.0000
O 0.8973 0.3973 0.5000

## Properties
SG: I4/mmm (139)
Raw total energy, eV/cell: -227.66
Formation energy without anion corrections, kJ/mol of atoms: -312.3
Volume, Å³ per atom: 11.347
Spin magnetization, μB/cell: 12.0

---

Entry 5:
Material: SrCdAs2O7
Method: DFT, SCAN
State: PBEsol geometry

Cell: 5.8139 7.1623 7.4507 Å, 100.89 90.12 98.95°
Element x y z (fractional)
Sr 0.1802 0.2743 0.4358
Sr 0.8198 0.7257 0.5642
Cd 0.1847 0.1674 0.9005
Cd 0.8153 0.8326 0.0995
As 0.2946 0.6688 0.8843
As 0.3184 0.7810 0.3250
As 0.6816 0.2190 0.6750
As 0.7054 0.3312 0.1157
O 0.0899 0.8170 0.8746
O 0.1044 0.9178 0.3228
O 0.2125 0.4426 0.7679
O 0.2601 0.6359 0.4788
O 0.2923 0.6172 0.1097
O 0.4036 0.1010 0.6548
O 0.4306 0.2226 0.1453
O 0.5694 0.7774 0.8547
O 0.5964 0.8990 0.3452
O 0.7077 0.3828 0.8903
O 0.7399 0.3641 0.5212
O 0.7875 0.5574 0.2321
O 0.8956 0.0822 0.6772
O 0.9101 0.1830 0.1254

## Properties
SG: P-1 (2)
Raw total energy, eV/cell: -314.36
Formation energy without anion corrections, kJ/mol of atoms: -179.7
Volume, Å³ per atom: 13.673
Spin magnetization, μB/cell: 0.0

---

Entry 6:
Material: CaTi2H
Method: DFT, SCAN
State: PBEsol geometry

Cell: 4.5963 4.5963 4.5963 Å, 60.00 60.00 60.00°
Element x y z (fractional)
Ca 0.0000 0.0000 0.0000
Ti 0.2500 0.2500 0.2500
Ti 0.7500 0.7500 0.7500
H 0.5000 0.5000 0.5000

## Properties
SG: Fm-3m (225)
Raw total energy, eV/cell: -39.54
Volume, Å³ per atom: 17.165
Spin magnetization, μB/cell: 0.0

---

Entry 7:
Material: CaYRe3
Method: DFT, SCAN
State: PBEsol geometry

Cell: 4.8263 4.8263 4.8263 Å, 90.00 90.00 90.00°
Element x y z (fractional)
Ca 0.0000 0.0000 0.0000
Y 0.5000 0.5000 0.5000
Re 0.0000 0.5000 0.5000
Re 0.5000 0.0000 0.5000
Re 0.5000 0.5000 0.0000

## Properties
SG: Pm-3m (221)
ΔE_f, kJ/mol of atoms: 247.5
Raw total energy, eV/cell: -237.98
Volume, Å³ per atom: 22.483
Spin magnetization, μB/cell: 2.4

---

Entry 8:
Material: Be2ZnRu
Method: DFT, SCAN
State: PBEsol geometry

Cell: 3.7341 3.7341 2.9921 Å, 90.00 90.00 90.00°
Element x y z (fractional)
Be 0.0000 0.5000 0.0000
Be 0.5000 0.0000 0.0000
Zn 0.0000 0.0000 0.5000
Ru 0.5000 0.5000 0.5000

## Properties
SG: P4/mmm (123)
ΔE_f, kJ/mol of atoms: -34.3
Raw total energy, eV/cell: -58.47
Volume, Å³ per atom: 10.430
Spin magnetization, μB/cell: 0.0